SiS3O | GGA-PBEsol | relaxed

Values from the calculation:
- Uncorrected formation energy: 4.16 eV/f.u.
- Theoretical density: 2.71 g/cm3

a b c (Å): 4.414 4.414 4.414
angles (deg): 90.00 90.00 90.00
Last column: magnetic moment on the atom in μB.
Fractional coordinates of all 5 atoms:
O 0.500 0.500 0.500  1.33
S 0.000 0.000 0.500  0.13
S 0.500 0.000 0.000  0.13
S 0.000 0.500 0.000  0.13
Si 0.000 0.000 0.000  -0.01

=====

Sm4Si2S3O7 | GGA-PBEsol | relaxed

Values from the calculation:
- Uncorrected formation energy: -46.63 eV/f.u.
- Theoretical density: 5.99 g/cm3

a b c (Å): 10.828 10.828 10.828
angles (deg): 100.50 114.13 114.13
Fractional coordinates of all 64 atoms:
Sm 0.500 0.422 0.578
Sm 0.264 0.717 0.981
Sm 0.845 0.422 0.922
Sm 0.155 0.078 0.578
Sm 0.236 0.033 0.269
Sm 0.345 0.672 0.672
Sm 0.000 0.328 0.672
Sm 0.764 0.033 0.797
Sm 0.764 0.731 0.967
Sm 0.655 0.328 0.328
Sm 0.264 0.547 0.283
Sm 0.000 0.672 0.328
Sm 0.736 0.717 0.453
Sm 0.736 0.019 0.283
Sm 0.236 0.203 0.967
Sm 0.500 0.078 0.922
O 0.737 0.526 0.545
O 0.769 0.568 0.799
O 0.231 0.030 0.799
O 0.981 0.455 0.191
O 0.481 0.941 0.705
O 0.263 0.455 0.474
O 0.481 0.540 0.776
O 0.231 0.201 0.432
O 0.000 0.226 0.226
O 0.263 0.809 0.790
O 0.237 0.295 0.776
O 0.731 0.549 0.280
O 0.019 0.809 0.545
O 0.269 0.549 0.818
O 0.500 0.976 0.476
O 0.763 0.540 0.059
O 0.769 0.201 0.970
O 0.269 0.720 0.451
O 0.500 0.524 0.024
O 0.237 0.941 0.460
O 0.519 0.295 0.059
O 0.000 0.774 0.774
O 0.763 0.224 0.705
O 0.731 0.182 0.451
O 0.519 0.224 0.460
O 0.737 0.210 0.191
O 0.981 0.526 0.790
O 0.019 0.210 0.474
Si 0.375 0.904 0.528
Si 0.625 0.153 0.528
Si 0.125 0.278 0.403
Si 0.375 0.472 0.847
Si 0.625 0.472 0.096
Si 0.875 0.597 0.722
Si 0.125 0.846 0.722
Si 0.875 0.278 0.154
S 0.603 0.875 0.978
S 0.103 0.375 0.978
S 0.000 0.000 0.000
S 0.103 0.728 0.125
S 0.500 0.750 0.250
S 0.397 0.022 0.125
S 0.603 0.728 0.625
S 0.500 0.250 0.750
S 0.000 0.500 0.500
S 0.897 0.875 0.272
S 0.397 0.375 0.272
S 0.897 0.022 0.625

=====

Sr2SiS8O28 | GGA-PBEsol | relaxed

Values from the calculation:
- Uncorrected formation energy: -64.58 eV/f.u.
- Theoretical density: 2.71 g/cm3

a b c (Å): 7.021 12.273 13.013
angles (deg): 90.00 90.00 97.35
Fractional coordinates of all 78 atoms:
O 0.436 0.358 0.523
O 0.110 0.972 0.119
O 0.941 0.628 0.105
O 0.552 0.303 0.689
O 0.771 0.001 0.059
O 0.390 0.528 0.619
O 0.729 0.499 0.559
O 0.320 0.360 0.313
O 0.637 0.015 0.229
O 0.364 0.683 0.731
O 0.507 0.865 0.114
O 0.707 0.251 0.531
O 0.864 0.183 0.769
O 0.610 0.472 0.381
O 0.031 0.987 0.299
O 0.564 0.642 0.477
O 0.863 0.485 0.729
O 0.363 0.985 0.771
O 0.271 0.501 0.441
O 0.180 0.140 0.813
O 0.256 0.995 0.509
O 0.936 0.858 0.977
O 0.379 0.341 0.952
O 0.969 0.013 0.701
O 0.559 0.872 0.605
O 0.136 0.817 0.231
O 0.207 0.751 0.969
O 0.379 0.171 0.582
O 0.744 0.005 0.491
O 0.137 0.515 0.271
O 0.793 0.249 0.031
O 0.993 0.635 0.614
O 0.007 0.365 0.386
O 0.636 0.317 0.269
O 0.293 0.749 0.469
O 0.621 0.829 0.418
O 0.820 0.860 0.187
O 0.059 0.372 0.895
O 0.469 0.513 0.799
O 0.879 0.671 0.918
O 0.229 0.999 0.941
O 0.531 0.487 0.201
O 0.680 0.640 0.687
O 0.121 0.159 0.452
O 0.621 0.659 0.048
O 0.244 0.505 0.009
O 0.890 0.028 0.881
O 0.756 0.495 0.991
O 0.121 0.329 0.082
O 0.064 0.142 0.023
O 0.879 0.841 0.548
O 0.948 0.197 0.189
O 0.493 0.135 0.886
O 0.441 0.128 0.395
O 0.052 0.803 0.811
O 0.448 0.697 0.311
Sr 0.803 0.159 0.364
Sr 0.197 0.841 0.636
Sr 0.303 0.659 0.136
Sr 0.697 0.341 0.864
S 0.964 0.226 0.083
S 0.333 0.060 0.852
S 0.542 0.412 0.284
S 0.464 0.726 0.417
S 0.958 0.088 0.784
S 0.536 0.274 0.583
S 0.667 0.940 0.148
S 0.042 0.912 0.216
S 0.711 0.894 0.530
S 0.833 0.560 0.648
S 0.167 0.440 0.352
S 0.211 0.394 0.970
S 0.789 0.606 0.030
S 0.036 0.774 0.917
S 0.289 0.106 0.470
S 0.458 0.588 0.716
Si 0.000 0.000 0.000
Si 0.500 0.500 0.500

=====

Tb4Si2S3O7 | GGA-PBEsol | relaxed

Values from the calculation:
- Uncorrected formation energy: -46.94 eV/f.u.
- Theoretical density: 6.51 g/cm3

a b c (Å): 10.663 10.663 10.663
angles (deg): 100.86 113.94 113.94
Fractional coordinates of all 64 atoms:
Tb 0.236 0.534 0.769
Tb 0.236 0.702 0.466
Tb 0.736 0.519 0.784
Tb 0.000 0.827 0.173
Tb 0.736 0.216 0.952
Tb 0.764 0.534 0.298
Tb 0.000 0.173 0.827
Tb 0.500 0.577 0.423
Tb 0.846 0.923 0.423
Tb 0.264 0.216 0.481
Tb 0.346 0.173 0.173
Tb 0.264 0.048 0.784
Tb 0.654 0.827 0.827
Tb 0.154 0.577 0.077
Tb 0.764 0.231 0.466
Tb 0.500 0.923 0.077
Si 0.375 0.404 0.029
Si 0.375 0.971 0.346
Si 0.875 0.096 0.221
Si 0.125 0.346 0.221
Si 0.625 0.971 0.596
Si 0.125 0.779 0.904
Si 0.875 0.779 0.654
Si 0.625 0.654 0.029
O 0.766 0.701 0.468
O 0.734 0.685 0.951
O 0.017 0.308 0.042
O 0.234 0.792 0.275
O 0.234 0.532 0.299
O 0.734 0.025 0.042
O 0.483 0.041 0.275
O 0.000 0.725 0.725
O 0.266 0.049 0.315
O 0.017 0.709 0.975
O 0.500 0.475 0.975
O 0.766 0.725 0.208
O 0.517 0.725 0.959
O 0.234 0.701 0.935
O 0.266 0.218 0.951
O 0.983 0.025 0.291
O 0.483 0.442 0.208
O 0.500 0.025 0.525
O 0.266 0.958 0.975
O 0.234 0.442 0.959
O 0.766 0.065 0.299
O 0.517 0.792 0.558
O 0.734 0.709 0.692
O 0.734 0.049 0.782
O 0.000 0.275 0.275
O 0.266 0.308 0.291
O 0.766 0.041 0.558
O 0.983 0.958 0.692
S 0.604 0.375 0.479
S 0.896 0.375 0.771
S 0.104 0.229 0.625
S 0.104 0.875 0.479
S 0.396 0.521 0.625
S 0.000 0.000 0.000
S 0.396 0.875 0.771
S 0.500 0.250 0.750
S 0.896 0.521 0.125
S 0.500 0.750 0.250
S 0.000 0.500 0.500
S 0.604 0.229 0.125

=====

Tm4Si2S3O7 | GGA-PBEsol | relaxed

Values from the calculation:
- Uncorrected formation energy: -46.85 eV/f.u.
- Theoretical density: 7.11 g/cm3

a b c (Å): 10.500 10.500 10.500
angles (deg): 101.28 113.72 113.72
Fractional coordinates of all 64 atoms:
O 0.264 0.216 0.952
O 0.236 0.702 0.938
O 0.268 0.961 0.976
O 0.264 0.048 0.312
O 0.015 0.307 0.039
O 0.500 0.027 0.527
O 0.268 0.307 0.292
O 0.764 0.062 0.298
O 0.500 0.473 0.973
O 0.736 0.048 0.784
O 0.515 0.726 0.958
O 0.732 0.024 0.039
O 0.000 0.277 0.277
O 0.485 0.443 0.211
O 0.485 0.042 0.274
O 0.015 0.708 0.976
O 0.232 0.789 0.274
O 0.764 0.702 0.466
O 0.236 0.534 0.298
O 0.232 0.443 0.958
O 0.985 0.024 0.292
O 0.985 0.961 0.693
O 0.768 0.042 0.557
O 0.736 0.688 0.952
O 0.768 0.726 0.211
O 0.000 0.723 0.723
O 0.515 0.789 0.557
O 0.732 0.708 0.693
S 0.500 0.750 0.250
S 0.000 0.000 0.000
S 0.895 0.375 0.770
S 0.395 0.875 0.770
S 0.000 0.500 0.500
S 0.605 0.375 0.480
S 0.605 0.230 0.125
S 0.500 0.250 0.750
S 0.105 0.875 0.480
S 0.395 0.520 0.625
S 0.895 0.520 0.125
S 0.105 0.230 0.625
Tm 0.153 0.577 0.077
Tm 0.500 0.923 0.077
Tm 0.000 0.173 0.827
Tm 0.735 0.520 0.785
Tm 0.500 0.577 0.423
Tm 0.653 0.827 0.827
Tm 0.735 0.215 0.950
Tm 0.000 0.827 0.173
Tm 0.235 0.700 0.465
Tm 0.847 0.923 0.423
Tm 0.235 0.535 0.770
Tm 0.265 0.215 0.480
Tm 0.347 0.173 0.173
Tm 0.765 0.230 0.465
Tm 0.265 0.050 0.785
Tm 0.765 0.535 0.300
Si 0.625 0.969 0.595
Si 0.125 0.345 0.219
Si 0.625 0.656 0.031
Si 0.125 0.781 0.906
Si 0.875 0.781 0.655
Si 0.375 0.405 0.031
Si 0.875 0.094 0.219
Si 0.375 0.969 0.344

=====

Sm2S2O | GGA-PBEsol | relaxed

Values from the calculation:
- Uncorrected formation energy: -13.20 eV/f.u.
- Theoretical density: 6.33 g/cm3

a b c (Å): 6.916 7.017 8.336
angles (deg): 90.00 99.06 90.00
Fractional coordinates of all 20 atoms:
Sm 0.751 0.445 0.137
Sm 0.251 0.055 0.137
Sm 0.815 0.363 0.579
Sm 0.185 0.637 0.421
Sm 0.685 0.863 0.421
Sm 0.749 0.945 0.863
Sm 0.315 0.137 0.579
Sm 0.249 0.555 0.863
S 0.434 0.359 0.322
S 0.029 0.724 0.078
S 0.529 0.776 0.078
S 0.971 0.276 0.922
S 0.471 0.224 0.922
S 0.066 0.859 0.678
S 0.566 0.641 0.678
S 0.934 0.141 0.322
O 0.351 0.912 0.383
O 0.851 0.588 0.383
O 0.149 0.412 0.617
O 0.649 0.088 0.617

=====

| no. | Fermi-level density of states (states/eV/cell) |
| --- | --- |
| 1 | 4.51 |
| 2 | 0.00 |
| 3 | 0.00 |
| 4 | 0.00 |
| 5 | 0.00 |
| 6 | 0.00 |